(1)
Computed, not measured: a geometry-optimized K2NaSn2 structure at the PBE level of DFT.

abc: 5.311 5.311 14.935
angles: 90.00 90.00 90.00
Space group I4/mmm (No. 139)
Asymmetric unit:
K (0.000, 0.500, 0.250)
Na (0.000, 0.000, 0.000)
Sn (0.000, 0.000, 0.411)

Output
Crystal system = tetragonal
Density of states at the Fermi level = 0.68 states/eV/atom
DFT formation energy = 0.000 eV/atom
Energy relative to the lowest polymorph listed for this composition = 132 meV/atom
Calculated total energy = -2.304 eV per atom
Calculated density = 2.67 g cm⁻³



(2)
Computed, not measured: a geometry-optimized La4TbNd2 structure at the PBE level of DFT.

abc: 6.990 11.737 12.384
angles: 90.00 90.00 90.00
Space group Imma (No. 74)
Asymmetric unit:
La (0.000, 0.003, 0.147)
La (0.219, 0.250, 0.994)
Tb (0.250, 0.250, 0.250)
Nd (0.000, 0.000, 0.500)
Nd (0.000, 0.250, 0.718)

Output
Crystal system = orthorhombic
Density of states at the Fermi level = 1.39 states/eV/atom
DFT formation energy = 0.194 eV/atom
Energy relative to the lowest polymorph listed for this composition = 159 meV/atom
Calculated total energy = -4.645 eV per atom
Calculated density = 6.56 g cm⁻³



(3)
Computed, not measured: a geometry-optimized YMo2W structure at the PBE level of DFT.

abc: 7.472 7.472 5.803
angles: 90.00 90.00 90.00
Space group I-42d (No. 122)
Asymmetric unit:
Y (0.000, 0.000, 0.000)
Mo (0.207, 0.250, 0.625)
W (0.000, 0.000, 0.500)

Output
Crystal system = tetragonal
Density of states at the Fermi level = 1.25 states/eV/atom
DFT formation energy = 0.847 eV/atom
Energy relative to the lowest polymorph listed for this composition = 578 meV/atom
Calculated total energy = -9.423 eV per atom
Calculated density = 9.52 g cm⁻³



(4)
Computed, not measured: a geometry-optimized ZnAs2 structure at the PBE level of DFT.

abc: 7.5372 7.5372 3.7312
angles: 90.00 90.00 120.00
Space group P-62m (No. 189)
Asymmetric unit:
Zn (0.0000, 0.0000, 0.0000)
Zn (0.3333, 0.6667, 0.5000)
As (0.0000, 0.2972, 0.5000)
As (0.0000, 0.5353, 0.0000)

Output
Crystal system = hexagonal
Density of states at the Fermi level = 0.56 states/eV/atom
DFT formation energy = 0.223 eV/atom
Calculated total energy = -3.301 eV per atom
Calculated density = 5.84 g cm⁻³